(1)
DFT (GGA-PBE) results for a geometry-optimized Li2HfMgSb structure.

a = 4.860 Å, b = 4.860 Å, c = 5.351 Å
α = 90.00°, β = 90.00°, γ = 90.00°
Sites, in units of the cell vectors:
Li 0.000 0.500 0.000
Li 0.500 0.000 0.000
Hf 0.000 0.000 0.500
Mg 0.500 0.500 0.500
Sb 0.500 0.500 0.000

Output
* symmetry: P4/mmm (123)
* crystal system: tetragonal
* formation energy from raw total energies: 0.586 eV/atom

---

(2)
DFT (GGA-PBE) results for a geometry-optimized LiHfMgSc structure.

a = 10.006 Å, b = 10.006 Å, c = 10.006 Å
α = 162.19°, β = 162.19°, γ = 25.29°
Sites, in units of the cell vectors:
Li 0.000 0.000 0.000
Hf 0.152 0.152 0.000
Mg 0.385 0.385 0.000
Sc 0.760 0.760 0.000

Output
* symmetry: I4mm (107)
* energy relative to the elements: 0.15 eV per atom
* crystal system: tetragonal

---

(3)
DFT (GGA-PBE) results for a geometry-optimized Li2HfMgSe4 structure.

a = 6.694 Å, b = 3.858 Å, c = 6.778 Å
α = 90.00°, β = 108.82°, γ = 90.00°
Sites, in units of the cell vectors:
Li 0.000 0.000 0.000
Li 0.500 0.500 0.000
Hf 0.000 0.500 0.500
Mg 0.500 0.000 0.500
Se 0.240 0.000 0.744
Se 0.249 0.500 0.261
Se 0.751 0.500 0.739
Se 0.760 0.000 0.256

Output
* symmetry: P2/m (10)
* crystal system: monoclinic
* formation energy from raw total energies: -1.293 eV/atom

---

(4)
DFT (GGA-PBE) results for a geometry-optimized Li2Hf2MgSe6 structure.

a = 6.672 Å, b = 6.672 Å, c = 6.871 Å
α = 99.19°, β = 99.19°, γ = 120.65°
Sites, in units of the cell vectors:
Li 0.168 0.832 0.000
Li 0.832 0.168 0.000
Hf 0.334 0.666 0.500
Hf 0.666 0.334 0.500
Mg 0.000 0.000 0.500
Se 0.078 0.422 0.740
Se 0.258 0.258 0.262
Se 0.422 0.078 0.740
Se 0.578 0.922 0.260
Se 0.742 0.742 0.738
Se 0.922 0.578 0.260

Output
* symmetry: C2/m (12)
* crystal system: monoclinic
* formation energy from raw total energies: -1.312 eV/atom

---

(5)
DFT (GGA-PBE) results for a geometry-optimized Li3HfMg2Se6 structure.

a = 6.663 Å, b = 6.663 Å, c = 6.800 Å
α = 99.44°, β = 99.44°, γ = 120.01°
Sites, in units of the cell vectors:
Li 0.000 0.000 0.000
Li 0.336 0.664 0.000
Li 0.664 0.336 0.000
Hf 0.500 0.500 0.500
Mg 0.167 0.833 0.500
Mg 0.833 0.167 0.500
Se 0.091 0.419 0.256
Se 0.253 0.253 0.742
Se 0.419 0.091 0.256
Se 0.581 0.909 0.744
Se 0.747 0.747 0.258
Se 0.909 0.581 0.744

Output
* symmetry: C2/m (12)
* crystal system: monoclinic
* formation energy from raw total energies: -1.190 eV/atom

---

(6)
DFT (GGA-PBE) results for a geometry-optimized LiHfMgZn structure.

a = 4.631 Å, b = 4.631 Å, c = 4.631 Å
α = 60.00°, β = 60.00°, γ = 60.00°
Sites, in units of the cell vectors:
Li 0.000 0.000 0.000
Hf 0.250 0.250 0.250
Mg 0.750 0.750 0.750
Zn 0.500 0.500 0.500

Output
* symmetry: F-43m (216)
* energy relative to the elements: 0.03 eV per atom
* crystal system: cubic

---

(7)
DFT (GGA-PBE) results for a geometry-optimized LiHfMn2 structure.

a = 5.541 Å, b = 5.541 Å, c = 5.541 Å
α = 103.62°, β = 103.62°, γ = 121.93°
Sites, in units of the cell vectors:
Li 0.000 0.000 0.000
Li 0.750 0.250 0.500
Hf 0.250 0.750 0.500
Hf 0.500 0.500 0.000
Mn 0.096 0.625 0.971
Mn 0.375 0.346 0.471
Mn 0.654 0.125 0.029
Mn 0.875 0.904 0.529

Output
* symmetry: I-42d (122)
* energy relative to the elements: 0.52 eV per atom
* crystal system: tetragonal

---

(8)
DFT (GGA-PBE) results for a geometry-optimized LiHf2Mn structure.

a = 4.519 Å, b = 4.519 Å, c = 3.230 Å
α = 90.00°, β = 90.00°, γ = 90.00°
Sites, in units of the cell vectors:
Li 0.000 0.000 0.000
Hf 0.000 0.500 0.500
Hf 0.500 0.000 0.500
Mn 0.500 0.500 0.000

Output
* symmetry: P4/mmm (123)
* energy relative to the elements: 0.10 eV per atom
* crystal system: tetragonal

---

(9)
DFT (GGA-PBE) results for a geometry-optimized LiHfMn3 structure.

a = 4.181 Å, b = 4.181 Å, c = 4.181 Å
α = 90.00°, β = 90.00°, γ = 90.00°
Sites, in units of the cell vectors:
Li 0.000 0.000 0.000
Hf 0.500 0.500 0.500
Mn 0.000 0.000 0.500
Mn 0.000 0.500 0.000
Mn 0.500 0.000 0.000

Output
* symmetry: Pm-3m (221)
* energy relative to the elements: 0.72 eV per atom
* crystal system: cubic

---

(10)
DFT (GGA-PBE) results for a geometry-optimized Li3HfMn structure.

a = 4.465 Å, b = 4.465 Å, c = 4.465 Å
α = 90.00°, β = 90.00°, γ = 90.00°
Sites, in units of the cell vectors:
Li 0.000 0.000 0.500
Li 0.000 0.500 0.000
Li 0.500 0.000 0.000
Hf 0.500 0.500 0.500
Mn 0.000 0.000 0.000

Output
* symmetry: Pm-3m (221)
* energy relative to the elements: 0.92 eV per atom
* crystal system: cubic

---

(11)
DFT (GGA-PBE) results for a geometry-optimized LiHf2Mn structure.

a = 7.237 Å, b = 7.237 Å, c = 7.237 Å
α = 120.24°, β = 120.24°, γ = 89.59°
Sites, in units of the cell vectors:
Li 0.375 0.625 0.750
Li 0.625 0.375 0.250
Hf 0.000 0.000 0.000
Hf 0.000 0.000 0.500
Hf 0.000 0.500 0.000
Hf 0.500 0.000 0.500
Mn 0.125 0.875 0.250
Mn 0.875 0.125 0.750

Output
* symmetry: I4_1/amd (141)
* energy relative to the elements: 1.36 eV per atom
* crystal system: tetragonal

---

(12)
DFT (GGA-PBE) results for a geometry-optimized LiHf2Mn structure.

a = 3.125 Å, b = 3.125 Å, c = 7.481 Å
α = 90.00°, β = 90.00°, γ = 90.00°
Sites, in units of the cell vectors:
Li 0.000 0.000 0.000
Hf 0.500 0.500 0.295
Hf 0.500 0.500 0.705
Mn 0.000 0.000 0.500

Output
* symmetry: P4/mmm (123)
* energy relative to the elements: 0.05 eV per atom
* crystal system: tetragonal

---

(13)
DFT (GGA-PBE) results for a geometry-optimized LiHfMn3 structure.

a = 4.854 Å, b = 4.854 Å, c = 4.854 Å
α = 90.00°, β = 90.00°, γ = 90.00°
Sites, in units of the cell vectors:
Li 0.000 0.000 0.000
Hf 0.500 0.500 0.500
Mn 0.000 0.500 0.500
Mn 0.500 0.000 0.500
Mn 0.500 0.500 0.000

Output
* symmetry: Pm-3m (221)
* energy relative to the elements: 1.24 eV per atom
* crystal system: cubic

---

(14)
DFT (GGA-PBE) results for a geometry-optimized LiHfMnNb structure.

a = 4.442 Å, b = 4.442 Å, c = 4.442 Å
α = 60.00°, β = 60.00°, γ = 60.00°
Sites, in units of the cell vectors:
Li 0.000 0.000 0.000
Hf 0.750 0.750 0.750
Mn 0.500 0.500 0.500
Nb 0.250 0.250 0.250

Output
* symmetry: F-43m (216)
* energy relative to the elements: 0.07 eV per atom
* crystal system: cubic

---

Q: Which raw total energy values were calculated for the entries above? A: -3.313; -4.800; -4.958; -5.515; -4.506; -3.657; -7.027; -7.644; -7.152; -4.050; -6.386; -7.696; -6.636; -7.707, in eV/atom.